# SrPu, optimized geometry, DFT PBE
data_SrPu
_cell_length_a 7.2388
_cell_length_b 7.2388
_cell_length_c 7.2388
_cell_angle_alpha 90.00
_cell_angle_beta 90.00
_cell_angle_gamma 90.00
_space_group_name_H-M_alt 'F m -3 m'
_space_group_IT_number 225
_space_group_name_Hall '-F 4 2 3'
loop_
_atom_site_label
_atom_site_type_symbol
_atom_site_fract_x
_atom_site_fract_y
_atom_site_fract_z
Sr1 Sr 0.0000 0.0000 0.0000
Pu1 Pu 0.0000 0.0000 0.5000
# Uncorrected energy: -6.89 eV/atom



# BaMgSnPd, optimized geometry, DFT PBE
data_BaMgSnPd
_cell_length_a 7.4176
_cell_length_b 7.4176
_cell_length_c 7.4176
_cell_angle_alpha 90.00
_cell_angle_beta 90.00
_cell_angle_gamma 90.00
_space_group_name_H-M_alt 'F -4 3 m'
_space_group_IT_number 216
_space_group_name_Hall 'F -4 2 3'
loop_
_atom_site_label
_atom_site_type_symbol
_atom_site_fract_x
_atom_site_fract_y
_atom_site_fract_z
Ba1 Ba 0.0000 0.0000 0.0000
Mg1 Mg 0.2500 0.2500 0.2500
Sn1 Sn 0.2500 0.2500 0.7500
Pd1 Pd 0.0000 0.0000 0.5000
# Uncorrected energy: -3.41 eV/atom



# CuSnPt2, optimized geometry, DFT PBE
data_CuSnPt2
_cell_length_a 6.3774
_cell_length_b 6.3774
_cell_length_c 6.3774
_cell_angle_alpha 90.00
_cell_angle_beta 90.00
_cell_angle_gamma 90.00
_space_group_name_H-M_alt 'F -4 3 m'
_space_group_IT_number 216
_space_group_name_Hall 'F -4 2 3'
loop_
_atom_site_label
_atom_site_type_symbol
_atom_site_fract_x
_atom_site_fract_y
_atom_site_fract_z
Cu1 Cu 0.0000 0.0000 0.0000
Sn1 Sn 0.2500 0.2500 0.7500
Pt1 Pt 0.0000 0.0000 0.5000
Pt2 Pt 0.2500 0.2500 0.2500
# Uncorrected energy: -5.15 eV/atom



# KSmInTe3, optimized geometry, DFT PBE
data_KSmInTe3
_cell_length_a 4.9885
_cell_length_b 15.5219
_cell_length_c 11.9591
_cell_angle_alpha 90.00
_cell_angle_beta 90.00
_cell_angle_gamma 90.00
_space_group_name_H-M_alt 'C m c m'
_space_group_IT_number 63
_space_group_name_Hall '-C 2c 2'
loop_
_atom_site_label
_atom_site_type_symbol
_atom_site_fract_x
_atom_site_fract_y
_atom_site_fract_z
K1 K 0.0000 0.2448 0.2500
Sm1 Sm 0.0000 0.0000 0.0000
In1 In 0.0000 0.4807 0.7500
Te1 Te 0.0000 0.0759 0.7500
Te2 Te 0.0000 0.3701 0.5535
# Uncorrected energy: -3.90 eV/atom



# CsNaCdSn, optimized geometry, DFT PBE
data_CsNaCdSn
_cell_length_a 6.2121
_cell_length_b 11.1380
_cell_length_c 9.2325
_cell_angle_alpha 90.00
_cell_angle_beta 90.00
_cell_angle_gamma 90.00
_space_group_name_H-M_alt 'A m m 2'
_space_group_IT_number 38
_space_group_name_Hall 'A 2 -2'
loop_
_atom_site_label
_atom_site_type_symbol
_atom_site_fract_x
_atom_site_fract_y
_atom_site_fract_z
Cs1 Cs 0.0000 0.1752 0.0000
Na1 Na 0.5000 0.1620 0.3121
Cd1 Cd 0.2454 0.0000 0.6147
Sn1 Sn 0.0000 0.0000 0.3535
Sn2 Sn 0.5000 0.0000 0.8632
# Uncorrected energy: -1.90 eV/atom



# MgFeSnIr, optimized geometry, DFT PBE
data_MgFeSnIr
_cell_length_a 6.2596
_cell_length_b 6.2596
_cell_length_c 6.2596
_cell_angle_alpha 90.00
_cell_angle_beta 90.00
_cell_angle_gamma 90.00
_space_group_name_H-M_alt 'F -4 3 m'
_space_group_IT_number 216
_space_group_name_Hall 'F -4 2 3'
loop_
_atom_site_label
_atom_site_type_symbol
_atom_site_fract_x
_atom_site_fract_y
_atom_site_fract_z
Mg1 Mg 0.0000 0.0000 0.0000
Fe1 Fe 0.2500 0.2500 0.7500
Sn1 Sn 0.0000 0.0000 0.5000
Ir1 Ir 0.2500 0.2500 0.2500
# Uncorrected energy: -5.76 eV/atom



# SrAlZn, optimized geometry, DFT PBE
data_SrAlZn
_cell_length_a 7.2751
_cell_length_b 7.2751
_cell_length_c 7.2751
_cell_angle_alpha 90.00
_cell_angle_beta 90.00
_cell_angle_gamma 90.00
_space_group_name_H-M_alt 'F -4 3 m'
_space_group_IT_number 216
_space_group_name_Hall 'F -4 2 3'
loop_
_atom_site_label
_atom_site_type_symbol
_atom_site_fract_x
_atom_site_fract_y
_atom_site_fract_z
Sr1 Sr 0.0000 0.0000 0.0000
Al1 Al 0.2500 0.2500 0.7500
Zn1 Zn 0.2500 0.2500 0.2500
# Uncorrected energy: -1.73 eV/atom



# KNa2Au2, optimized geometry, DFT PBE
data_KNa2Au2
_cell_length_a 4.7062
_cell_length_b 4.7062
_cell_length_c 13.0299
_cell_angle_alpha 90.00
_cell_angle_beta 90.00
_cell_angle_gamma 90.00
_space_group_name_H-M_alt 'I 4/m m m'
_space_group_IT_number 139
_space_group_name_Hall '-I 4 2'
loop_
_atom_site_label
_atom_site_type_symbol
_atom_site_fract_x
_atom_site_fract_y
_atom_site_fract_z
K1 K 0.0000 0.0000 0.0000
Na1 Na 0.0000 0.5000 0.2500
Au1 Au 0.0000 0.0000 0.3942
# Uncorrected energy: -2.34 eV/atom



# Mg2ZrGe, optimized geometry, DFT PBE
data_Mg2ZrGe
_cell_length_a 6.8393
_cell_length_b 6.8393
_cell_length_c 6.8393
_cell_angle_alpha 90.00
_cell_angle_beta 90.00
_cell_angle_gamma 90.00
_space_group_name_H-M_alt 'F -4 3 m'
_space_group_IT_number 216
_space_group_name_Hall 'F -4 2 3'
loop_
_atom_site_label
_atom_site_type_symbol
_atom_site_fract_x
_atom_site_fract_y
_atom_site_fract_z
Mg1 Mg 0.0000 0.0000 0.0000
Mg2 Mg 0.2500 0.2500 0.2500
Zr1 Zr 0.2500 0.2500 0.7500
Ge1 Ge 0.0000 0.0000 0.5000
# Uncorrected energy: -4.03 eV/atom



# NaFeSi, optimized geometry, DFT PBE
data_NaFeSi
_cell_length_a 6.1824
_cell_length_b 6.1824
_cell_length_c 6.1824
_cell_angle_alpha 90.00
_cell_angle_beta 90.00
_cell_angle_gamma 90.00
_space_group_name_H-M_alt 'F -4 3 m'
_space_group_IT_number 216
_space_group_name_Hall 'F -4 2 3'
loop_
_atom_site_label
_atom_site_type_symbol
_atom_site_fract_x
_atom_site_fract_y
_atom_site_fract_z
Na1 Na 0.0000 0.0000 0.0000
Fe1 Fe 0.2500 0.2500 0.7500
Si1 Si 0.2500 0.2500 0.2500
# Uncorrected energy: -3.72 eV/atom



# NaZrPO, optimized geometry, DFT PBE
data_NaZrPO
_cell_length_a 5.1933
_cell_length_b 5.1933
_cell_length_c 4.7289
_cell_angle_alpha 90.00
_cell_angle_beta 90.00
_cell_angle_gamma 90.00
_space_group_name_H-M_alt 'P 4/n m m'
_space_group_IT_number 129
loop_
_space_group_symop_operation_xyz
'x,y,z'
'-x,-y,-z'
'-y+1/2,x,z'
'y+1/2,-x,-z'
'-x+1/2,-y+1/2,z'
'x+1/2,y+1/2,-z'
'y,-x+1/2,z'
'-y,x+1/2,-z'
'x+1/2,-y,-z'
'-x+1/2,y,z'
'-y,-x,-z'
'y,x,z'
'-x,y+1/2,-z'
'x,-y+1/2,z'
'y+1/2,x+1/2,-z'
'-y+1/2,-x+1/2,z'
loop_
_atom_site_label
_atom_site_type_symbol
_atom_site_fract_x
_atom_site_fract_y
_atom_site_fract_z
Na1 Na 0.2500 0.2500 0.0020
Zr1 Zr 0.2500 0.7500 0.5000
P1 P 0.2500 0.2500 0.5022
O1 O 0.2500 0.7500 0.0000
# Uncorrected energy: -6.36 eV/atom



# ErReNO, optimized geometry, DFT PBE
data_ErReNO
_cell_length_a 3.2219
_cell_length_b 5.5745
_cell_length_c 6.2332
_cell_angle_alpha 90.00
_cell_angle_beta 90.00
_cell_angle_gamma 90.00
_space_group_name_H-M_alt 'P m c 21'
_space_group_IT_number 26
_space_group_name_Hall 'P 2c -2'
loop_
_atom_site_label
_atom_site_type_symbol
_atom_site_fract_x
_atom_site_fract_y
_atom_site_fract_z
Er1 Er 0.0000 0.1694 0.0000
Re1 Re 0.5000 0.3284 0.4540
N1 N 0.5000 0.4102 0.1678
O1 O 0.0000 0.1842 0.6512
# Uncorrected energy: -8.58 eV/atom



# GdBi, optimized geometry, DFT PBE
data_GdBi
_cell_length_a 6.5922
_cell_length_b 6.1116
_cell_length_c 6.1441
_cell_angle_alpha 90.00
_cell_angle_beta 90.00
_cell_angle_gamma 90.00
_space_group_name_H-M_alt 'P m m a'
_space_group_IT_number 51
_space_group_name_Hall '-P 2a 2a'
loop_
_atom_site_label
_atom_site_type_symbol
_atom_site_fract_x
_atom_site_fract_y
_atom_site_fract_z
Gd1 Gd 0.0000 0.0000 0.0000
Gd2 Gd 0.2500 0.5000 0.2973
Bi1 Bi 0.2500 0.0000 0.4739
Bi2 Bi 0.2500 0.5000 0.8053
# Uncorrected energy: -4.94 eV/atom



# Nd4CI4Cl, optimized geometry, DFT PBE
data_Nd4CI4Cl
_cell_length_a 19.5133
_cell_length_b 4.0189
_cell_length_c 8.4971
_cell_angle_alpha 90.00
_cell_angle_beta 102.54
_cell_angle_gamma 90.00
_space_group_name_H-M_alt 'C 1 2/m 1'
_space_group_IT_number 12
_space_group_name_Hall '-C 2y'
loop_
_atom_site_label
_atom_site_type_symbol
_atom_site_fract_x
_atom_site_fract_y
_atom_site_fract_z
Nd1 Nd 0.0017 0.0000 0.2920
Nd2 Nd 0.1326 0.5000 0.5713
C1 C 0.0000 0.5000 0.5000
I1 I 0.1628 0.0000 0.8611
I2 I 0.1703 0.0000 0.3148
Cl1 Cl 0.0000 0.5000 0.0000
# Uncorrected energy: -4.84 eV/atom



# NaTlSiPd, optimized geometry, DFT PBE
data_NaTlSiPd
_cell_length_a 6.7320
_cell_length_b 6.7320
_cell_length_c 6.7320
_cell_angle_alpha 90.00
_cell_angle_beta 90.00
_cell_angle_gamma 90.00
_space_group_name_H-M_alt 'F -4 3 m'
_space_group_IT_number 216
_space_group_name_Hall 'F -4 2 3'
loop_
_atom_site_label
_atom_site_type_symbol
_atom_site_fract_x
_atom_site_fract_y
_atom_site_fract_z
Na1 Na 0.0000 0.0000 0.0000
Tl1 Tl 0.2500 0.2500 0.2500
Si1 Si 0.0000 0.0000 0.5000
Pd1 Pd 0.2500 0.2500 0.7500
# Uncorrected energy: -3.47 eV/atom



# CdFeReB, optimized geometry, DFT PBE
data_CdFeReB
_cell_length_a 5.9613
_cell_length_b 5.9613
_cell_length_c 5.9613
_cell_angle_alpha 90.00
_cell_angle_beta 90.00
_cell_angle_gamma 90.00
_space_group_name_H-M_alt 'F -4 3 m'
_space_group_IT_number 216
_space_group_name_Hall 'F -4 2 3'
loop_
_atom_site_label
_atom_site_type_symbol
_atom_site_fract_x
_atom_site_fract_y
_atom_site_fract_z
Cd1 Cd 0.0000 0.0000 0.0000
Fe1 Fe 0.2500 0.2500 0.2500
Re1 Re 0.2500 0.2500 0.7500
B1 B 0.0000 0.0000 0.5000
# Uncorrected energy: -5.98 eV/atom



# LiPrTl, optimized geometry, DFT PBE
data_LiPrTl
_cell_length_a 6.8434
_cell_length_b 6.8434
_cell_length_c 6.8434
_cell_angle_alpha 90.00
_cell_angle_beta 90.00
_cell_angle_gamma 90.00
_space_group_name_H-M_alt 'F -4 3 m'
_space_group_IT_number 216
_space_group_name_Hall 'F -4 2 3'
loop_
_atom_site_label
_atom_site_type_symbol
_atom_site_fract_x
_atom_site_fract_y
_atom_site_fract_z
Li1 Li 0.0000 0.0000 0.0000
Pr1 Pr 0.2500 0.2500 0.7500
Tl1 Tl 0.2500 0.2500 0.2500
# Uncorrected energy: -3.12 eV/atom



# YErTeC, optimized geometry, DFT PBE
data_YErTeC
_cell_length_a 3.8186
_cell_length_b 3.8186
_cell_length_c 13.9660
_cell_angle_alpha 90.00
_cell_angle_beta 90.00
_cell_angle_gamma 120.00
_space_group_name_H-M_alt 'P -6 m 2'
_space_group_IT_number 187
_space_group_name_Hall 'P -6 2'
loop_
_atom_site_label
_atom_site_type_symbol
_atom_site_fract_x
_atom_site_fract_y
_atom_site_fract_z
Y1 Y 0.0000 0.0000 0.1581
Er1 Er 0.6667 0.3333 0.3443
Te1 Te 0.0000 0.0000 0.5000
Te2 Te 0.6667 0.3333 0.0000
C1 C 0.3333 0.6667 0.2529
# Uncorrected energy: -6.73 eV/atom



# HoAuSeO, optimized geometry, DFT PBE
data_HoAuSeO
_cell_length_a 3.9237
_cell_length_b 3.9237
_cell_length_c 9.4810
_cell_angle_alpha 90.00
_cell_angle_beta 90.00
_cell_angle_gamma 90.00
_space_group_name_H-M_alt 'P 4/n m m'
_space_group_IT_number 129
loop_
_space_group_symop_operation_xyz
'x,y,z'
'-x,-y,-z'
'-y+1/2,x,z'
'y+1/2,-x,-z'
'-x+1/2,-y+1/2,z'
'x+1/2,y+1/2,-z'
'y,-x+1/2,z'
'-y,x+1/2,-z'
'x+1/2,-y,-z'
'-x+1/2,y,z'
'-y,-x,-z'
'y,x,z'
'-x,y+1/2,-z'
'x,-y+1/2,z'
'y+1/2,x+1/2,-z'
'-y+1/2,-x+1/2,z'
loop_
_atom_site_label
_atom_site_type_symbol
_atom_site_fract_x
_atom_site_fract_y
_atom_site_fract_z
Ho1 Ho 0.2500 0.2500 0.1161
Au1 Au 0.2500 0.7500 0.5000
Se1 Se 0.2500 0.2500 0.7186
O1 O 0.2500 0.7500 0.0000
# Uncorrected energy: -5.90 eV/atom



# YAlAu, optimized geometry, DFT PBE
data_YAlAu
_cell_length_a 6.7750
_cell_length_b 6.7750
_cell_length_c 6.7750
_cell_angle_alpha 90.00
_cell_angle_beta 90.00
_cell_angle_gamma 90.00
_space_group_name_H-M_alt 'F -4 3 m'
_space_group_IT_number 216
_space_group_name_Hall 'F -4 2 3'
loop_
_atom_site_label
_atom_site_type_symbol
_atom_site_fract_x
_atom_site_fract_y
_atom_site_fract_z
Y1 Y 0.0000 0.0000 0.0000
Al1 Al 0.2500 0.2500 0.7500
Au1 Au 0.2500 0.2500 0.2500
# Uncorrected energy: -4.53 eV/atom



# CsNdCu, optimized geometry, DFT PBE
data_CsNdCu
_cell_length_a 7.2279
_cell_length_b 7.2279
_cell_length_c 7.2279
_cell_angle_alpha 90.00
_cell_angle_beta 90.00
_cell_angle_gamma 90.00
_space_group_name_H-M_alt 'F -4 3 m'
_space_group_IT_number 216
_space_group_name_Hall 'F -4 2 3'
loop_
_atom_site_label
_atom_site_type_symbol
_atom_site_fract_x
_atom_site_fract_y
_atom_site_fract_z
Cs1 Cs 0.0000 0.0000 0.0000
Nd1 Nd 0.2500 0.2500 0.7500
Cu1 Cu 0.2500 0.2500 0.2500
# Uncorrected energy: -2.02 eV/atom



# ErSbN2O, optimized geometry, DFT PBE
data_ErSbN2O
_cell_length_a 5.6607
_cell_length_b 8.0832
_cell_length_c 5.4423
_cell_angle_alpha 90.00
_cell_angle_beta 90.00
_cell_angle_gamma 90.00
_space_group_name_H-M_alt 'P n m a'
_space_group_IT_number 62
_space_group_name_Hall '-P 2ac 2n'
loop_
_atom_site_label
_atom_site_type_symbol
_atom_site_fract_x
_atom_site_fract_y
_atom_site_fract_z
Er1 Er 0.0633 0.2500 0.0274
Sb1 Sb 0.0000 0.0000 0.5000
N1 N 0.1990 0.5647 0.8045
O1 O 0.0446 0.7500 0.3740
# Uncorrected energy: -7.06 eV/atom



# ScInNiSe3, optimized geometry, DFT PBE
data_ScInNiSe3
_cell_length_a 14.4439
_cell_length_b 3.8018
_cell_length_c 10.2100
_cell_angle_alpha 90.00
_cell_angle_beta 90.00
_cell_angle_gamma 90.00
_space_group_name_H-M_alt 'P n m a'
_space_group_IT_number 62
_space_group_name_Hall '-P 2ac 2n'
loop_
_atom_site_label
_atom_site_type_symbol
_atom_site_fract_x
_atom_site_fract_y
_atom_site_fract_z
Sc1 Sc 0.0185 0.2500 0.1666
In1 In 0.2385 0.2500 0.4651
Ni1 Ni 0.0066 0.7500 0.4046
Se1 Se 0.0890 0.7500 0.6036
Se2 Se 0.1004 0.2500 0.9297
Se3 Se 0.1346 0.7500 0.2561
# Uncorrected energy: -5.02 eV/atom



# Sm3YHo2CoTe2, optimized geometry, DFT PBE
data_Sm3YHo2CoTe2
_cell_length_a 3.9677
_cell_length_b 14.5877
_cell_length_c 8.3799
_cell_angle_alpha 90.00
_cell_angle_beta 90.00
_cell_angle_gamma 90.00
_space_group_name_H-M_alt 'A m m 2'
_space_group_IT_number 38
_space_group_name_Hall 'A 2 -2'
loop_
_atom_site_label
_atom_site_type_symbol
_atom_site_fract_x
_atom_site_fract_y
_atom_site_fract_z
Sm1 Sm 0.0000 0.0000 0.0000
Sm2 Sm 0.0000 0.2022 0.3999
Y1 Y 0.5000 0.0000 0.3649
Ho1 Ho 0.5000 0.1168 0.7158
Co1 Co 0.0000 0.0000 0.6083
Te1 Te 0.5000 0.1665 0.1010
# Uncorrected energy: -5.50 eV/atom



# Sn2IrPt, optimized geometry, DFT PBE
data_Sn2IrPt
_cell_length_a 4.1039
_cell_length_b 4.1039
_cell_length_c 5.5814
_cell_angle_alpha 90.00
_cell_angle_beta 90.00
_cell_angle_gamma 120.00
_space_group_name_H-M_alt 'P -3 m 1'
_space_group_IT_number 164
_space_group_name_Hall '-P 3 2"'
loop_
_atom_site_label
_atom_site_type_symbol
_atom_site_fract_x
_atom_site_fract_y
_atom_site_fract_z
Sn1 Sn 0.3333 0.6667 0.2593
Ir1 Ir 0.0000 0.0000 0.5000
Pt1 Pt 0.0000 0.0000 0.0000
# Uncorrected energy: -6.15 eV/atom



# NdTlCd, optimized geometry, DFT PBE
data_NdTlCd
_cell_length_a 4.9635
_cell_length_b 4.9635
_cell_length_c 7.6872
_cell_angle_alpha 90.00
_cell_angle_beta 90.00
_cell_angle_gamma 120.00
_space_group_name_H-M_alt 'P 63 m c'
_space_group_IT_number 186
_space_group_name_Hall 'P 6c -2c'
loop_
_atom_site_label
_atom_site_type_symbol
_atom_site_fract_x
_atom_site_fract_y
_atom_site_fract_z
Nd1 Nd 0.0000 0.0000 0.0000
Tl1 Tl 0.3333 0.6667 0.2112
Cd1 Cd 0.3333 0.6667 0.7901
# Uncorrected energy: -3.05 eV/atom